BeFeOF2 | GGA+U | optimized geometry

## Properties
The calculation puts the relative energy among the computed polymorphs at 0.0 kJ/mol of atoms. Its total energy is -5.63 eV per atom. The symmetry is P4/mmm. As for the density of states at the Fermi level: 0.00 states/eV/f.u. The density comes out at 4.39 g/cm³.

```
5
Lattice="3.2950 0.0000 0.0000 0.0000 3.2950 0.0000 0.0000 0.0000 4.1398" Properties=species:S:1:pos:R:3 pbc="T T T"
Be 0.0000 0.0000 0.0000
Fe 1.6475 1.6475 2.0699
O 0.0000 0.0000 2.0699
F 0.0000 1.6475 0.0000
F 1.6475 0.0000 0.0000
```